V3ZnRu4: relaxed, PBE.

Properties
ΔH_f (0 K): -209 kJ/mol of formula units
DOS(E_F): 4.439 states/eV/cell
Symmetry: Pmmm (47)
Calculated total energy: -8.49 eV/atom

a = 3.0186 Å, b = 4.2563 Å, c = 8.4840 Å
α = 90.00°, β = 90.00°, γ = 90.00°
Last column: nearest neighbours and their distance in Å.
Atoms (fractional coordinates):
Ru1 0.0000 0.5000 0.2586  6 V 2.54-2.61, 2 Zn 2.66
Ru2 0.0000 0.0000 0.5000  8 V 2.61-2.65
Ru3 0.0000 0.0000 0.0000  4 V 2.55, 4 Zn 2.61
Ru4 0.0000 0.5000 0.7414  6 V 2.54-2.61, 2 Zn 2.66
V1 0.5000 0.0000 0.2426  8 Ru 2.55-2.65
V2 0.5000 0.0000 0.7574  8 Ru 2.55-2.65
V3 0.5000 0.5000 0.5000  8 Ru 2.54-2.61
Zn1 0.5000 0.5000 0.0000  8 Ru 2.61-2.66

=====

VZn3Ru: relaxed, PBE.

Properties
ΔH_f (0 K): 391 kJ/mol of formula units
DOS(E_F): 4.922 states/eV/cell
Symmetry: Pm-3m (221)
Calculated total energy: -3.63 eV/atom

a = 4.6948 Å, b = 4.6948 Å, c = 4.6948 Å
α = 90.00°, β = 90.00°, γ = 90.00°
Last column: nearest neighbours and their distance in Å.
Atoms (fractional coordinates):
Zn1 0.0000 0.5000 0.0000  2 Ru 2.35
Zn2 0.0000 0.0000 0.5000  2 Ru 2.35
Zn3 0.5000 0.0000 0.0000  2 Ru 2.35
Ru1 0.0000 0.0000 0.0000  6 Zn 2.35
V1 0.5000 0.5000 0.5000  12 Zn 3.32

=====

Question: Number 2 is which compound?
Answer: VZn3Ru

=====

Question: What is the formula in the second record?
Answer: VZn3Ru

=====

Copy entry 2 word for word.
VZn3Ru: relaxed, PBE.

Properties
ΔH_f (0 K): 391 kJ/mol of formula units
DOS(E_F): 4.922 states/eV/cell
Symmetry: Pm-3m (221)
Calculated total energy: -3.63 eV/atom

a = 4.6948 Å, b = 4.6948 Å, c = 4.6948 Å
α = 90.00°, β = 90.00°, γ = 90.00°
Last column: nearest neighbours and their distance in Å.
Atoms (fractional coordinates):
Zn1 0.0000 0.5000 0.0000  2 Ru 2.35
Zn2 0.0000 0.0000 0.5000  2 Ru 2.35
Zn3 0.5000 0.0000 0.0000  2 Ru 2.35
Ru1 0.0000 0.0000 0.0000  6 Zn 2.35
V1 0.5000 0.5000 0.5000  12 Zn 3.32